# Tb2DyScS6 | Alexandria via LeMat-Bulk | PBE | optimized geometry
# - Crystal system: trigonal
# - E: -6.50 eV/atom
# - Formation energy without anion corrections: -2006 meV per atom
# - Spin magnetization: 0.000 μB/atom
data_Tb2DyScS6
_chemical_formula_sum 'Tb2 Dy1 Sc1 S6'
_space_group_name_H-M_alt 'P 1'
_space_group_IT_number 1
_space_group_name_Hall 'P 1'
_cell_length_a 7.251
_cell_length_b 7.251
_cell_length_c 7.251
_cell_angle_alpha 56.18
_cell_angle_beta 56.18
_cell_angle_gamma 56.18
loop_
_atom_site_label
_atom_site_fract_x
_atom_site_fract_y
_atom_site_fract_z
Tb1 0.000 0.000 0.000
Tb2 0.497 0.497 0.497
Dy1 0.201 0.201 0.201
Sc1 0.698 0.698 0.698
S1 0.077 0.421 0.806
S2 0.314 0.903 0.595
S3 0.421 0.806 0.077
S4 0.595 0.314 0.903
S5 0.806 0.077 0.421
S6 0.903 0.595 0.314

=====

# DyScTeS | Alexandria via LeMat-Bulk | PBE | optimized geometry
# - Crystal system: trigonal
# - E: -6.13 eV/atom
# - Formation energy without anion corrections: -1583 meV per atom
# - Spin magnetization: 0.000 μB/atom
data_DyScTeS
_chemical_formula_sum 'Dy1 Sc1 Te1 S1'
_space_group_name_H-M_alt 'P 1'
_space_group_IT_number 1
_space_group_name_Hall 'P 1'
_cell_length_a 7.335
_cell_length_b 7.335
_cell_length_c 7.335
_cell_angle_alpha 30.89
_cell_angle_beta 30.89
_cell_angle_gamma 30.89
loop_
_atom_site_label
_atom_site_fract_x
_atom_site_fract_y
_atom_site_fract_z
Dy1 0.000 0.000 0.000
Sc1 0.196 0.196 0.196
Te1 0.435 0.435 0.435
S1 0.595 0.595 0.595

=====

# Dy2ScTe2S2 | Alexandria via LeMat-Bulk | PBE | optimized geometry
# - Crystal system: tetragonal
# - E: -5.74 eV/atom
# - Formation energy without anion corrections: -1446 meV per atom
# - Spin magnetization: 0.000 μB/atom
data_Dy2ScTe2S2
_chemical_formula_sum 'Dy2 Sc1 Te2 S2'
_space_group_name_H-M_alt 'P 1'
_space_group_IT_number 1
_space_group_name_Hall 'P 1'
_cell_length_a 8.561
_cell_length_b 8.561
_cell_length_c 8.561
_cell_angle_alpha 147.67
_cell_angle_beta 147.67
_cell_angle_gamma 46.37
loop_
_atom_site_label
_atom_site_fract_x
_atom_site_fract_y
_atom_site_fract_z
Dy1 0.116 0.116 0.000
Dy2 0.884 0.884 0.000
Sc1 0.500 0.500 0.000
Te1 0.315 0.315 0.000
Te2 0.685 0.685 0.000
S1 0.000 0.500 0.500
S2 0.500 0.000 0.500

=====

# Dy2Th3ScS6 | Alexandria via LeMat-Bulk | PBE | optimized geometry
# - Crystal system: monoclinic
# - E: -7.08 eV/atom
# - Formation energy without anion corrections: -1870 meV per atom
# - Spin magnetization: 0.000 μB/atom
data_Dy2Th3ScS6
_chemical_formula_sum 'Dy2 Th3 Sc1 S6'
_space_group_name_H-M_alt 'P 1'
_space_group_IT_number 1
_space_group_name_Hall 'P 1'
_cell_length_a 8.969
_cell_length_b 8.969
_cell_length_c 8.030
_cell_angle_alpha 107.04
_cell_angle_beta 107.04
_cell_angle_gamma 24.97
loop_
_atom_site_label
_atom_site_fract_x
_atom_site_fract_y
_atom_site_fract_z
Dy1 0.165 0.165 0.331
Dy2 0.835 0.835 0.669
Th1 0.168 0.168 0.833
Th2 0.500 0.500 0.500
Th3 0.832 0.832 0.167
Sc1 0.500 0.500 0.000
S1 0.002 0.002 0.229
S2 0.329 0.329 0.427
S3 0.342 0.342 0.912
S4 0.658 0.658 0.088
S5 0.671 0.671 0.573
S6 0.998 0.998 0.771

=====

# DyTh2ScS4 | Alexandria via LeMat-Bulk | PBE | optimized geometry
# - Crystal system: monoclinic
# - E: -7.14 eV/atom
# - Formation energy without anion corrections: -1857 meV per atom
# - Spin magnetization: 0.000 μB/atom
data_DyTh2ScS4
_chemical_formula_sum 'Dy1 Th2 Sc1 S4'
_space_group_name_H-M_alt 'P 1'
_space_group_IT_number 1
_space_group_name_Hall 'P 1'
_cell_length_a 6.640
_cell_length_b 3.871
_cell_length_c 7.033
_cell_angle_alpha 90.00
_cell_angle_beta 108.61
_cell_angle_gamma 90.00
loop_
_atom_site_label
_atom_site_fract_x
_atom_site_fract_y
_atom_site_fract_z
Dy1 0.000 0.000 0.000
Th1 0.000 0.500 0.500
Th2 0.500 0.000 0.500
Sc1 0.500 0.500 0.000
S1 0.251 0.500 0.228
S2 0.266 0.000 0.777
S3 0.734 0.000 0.223
S4 0.749 0.500 0.772

=====

# DyThSc2S4 | Alexandria via LeMat-Bulk | PBE | optimized geometry
# - Crystal system: monoclinic
# - E: -7.01 eV/atom
# - Formation energy without anion corrections: -1860 meV per atom
# - Spin magnetization: 0.000 μB/atom
data_DyThSc2S4
_chemical_formula_sum 'Dy1 Th1 Sc2 S4'
_space_group_name_H-M_alt 'P 1'
_space_group_IT_number 1
_space_group_name_Hall 'P 1'
_cell_length_a 6.628
_cell_length_b 3.801
_cell_length_c 6.723
_cell_angle_alpha 90.00
_cell_angle_beta 109.02
_cell_angle_gamma 90.00
loop_
_atom_site_label
_atom_site_fract_x
_atom_site_fract_y
_atom_site_fract_z
Dy1 0.000 0.000 0.000
Th1 0.500 0.500 0.000
Sc1 0.000 0.500 0.500
Sc2 0.500 0.000 0.500
S1 0.235 0.000 0.724
S2 0.251 0.500 0.271
S3 0.749 0.500 0.729
S4 0.765 0.000 0.276

=====

# Dy3Th4ScS8 | Alexandria via LeMat-Bulk | PBE | optimized geometry
# - Crystal system: trigonal
# - E: -7.07 eV/atom
# - Formation energy without anion corrections: -1890 meV per atom
# - Spin magnetization: 0.000 μB/atom
data_Dy3Th4ScS8
_chemical_formula_sum 'Dy3 Th4 Sc1 S8'
_space_group_name_H-M_alt 'P 1'
_space_group_IT_number 1
_space_group_name_Hall 'P 1'
_cell_length_a 8.051
_cell_length_b 8.051
_cell_length_c 8.051
_cell_angle_alpha 57.61
_cell_angle_beta 57.61
_cell_angle_gamma 57.61
loop_
_atom_site_label
_atom_site_fract_x
_atom_site_fract_y
_atom_site_fract_z
Dy1 0.000 0.500 0.500
Dy2 0.500 0.000 0.500
Dy3 0.500 0.500 0.000
Th1 0.000 0.000 0.500
Th2 0.000 0.500 0.000
Th3 0.500 0.000 0.000
Th4 0.500 0.500 0.500
Sc1 0.000 0.000 0.000
S1 0.239 0.239 0.751
S2 0.239 0.751 0.239
S3 0.249 0.761 0.761
S4 0.256 0.256 0.256
S5 0.744 0.744 0.744
S6 0.751 0.239 0.239
S7 0.761 0.249 0.761
S8 0.761 0.761 0.249

=====

# Dy2ThScS4 | Alexandria via LeMat-Bulk | PBE | optimized geometry
# - Crystal system: monoclinic
# - E: -6.82 eV/atom
# - Formation energy without anion corrections: -1882 meV per atom
# - Spin magnetization: 0.000 μB/atom
data_Dy2ThScS4
_chemical_formula_sum 'Dy2 Th1 Sc1 S4'
_space_group_name_H-M_alt 'P 1'
_space_group_IT_number 1
_space_group_name_Hall 'P 1'
_cell_length_a 6.737
_cell_length_b 3.871
_cell_length_c 6.813
_cell_angle_alpha 90.00
_cell_angle_beta 109.10
_cell_angle_gamma 90.00
loop_
_atom_site_label
_atom_site_fract_x
_atom_site_fract_y
_atom_site_fract_z
Dy1 0.000 0.000 0.000
Dy2 0.000 0.500 0.500
Th1 0.500 0.000 0.500
Sc1 0.500 0.500 0.000
S1 0.246 0.500 0.235
S2 0.256 0.000 0.765
S3 0.744 0.000 0.235
S4 0.754 0.500 0.765